Computed, not measured: a relaxed Ho2SCl4 crystal at the GGA-PBE level of DFT.

a = 8.230 Å, b = 8.230 Å, c = 6.809 Å
α = 97.27°, β = 97.27°, γ = 45.03°
Sites, in units of the cell vectors:
Cl  0.493  0.688  0.921
Cl  0.702  0.863  0.680
Ho  0.313  0.902  0.577
Ho  0.687  0.098  0.423
Cl  0.312  0.507  0.579
Cl  0.863  0.702  0.180
S  0.062  0.938  0.250
Cl  0.507  0.312  0.079
Cl  0.688  0.493  0.421
S  0.938  0.062  0.750
Ho  0.902  0.313  0.077
Cl  0.298  0.137  0.320
Ho  0.098  0.687  0.923
Cl  0.137  0.298  0.820

theoretical density = 5.18 Mg/m³
E_tot = -71.89 eV/cell
crystal system = monoclinic

=====

Computed, not measured: a relaxed SmHoS2Cl2 crystal at the GGA-PBE level of DFT.

a = 4.055 Å, b = 5.379 Å, c = 8.796 Å
α = 90.00°, β = 90.00°, γ = 90.00°
Sites, in units of the cell vectors:
Cl  0.000  0.500  0.345
Sm  0.500  0.500  0.137
Ho  0.000  0.000  0.863
S  0.000  0.500  0.916
Cl  0.500  0.000  0.666
S  0.500  0.000  0.073

theoretical density = 3.90 Mg/m³
E_tot = -34.26 eV/cell
crystal system = orthorhombic

=====

Computed, not measured: a relaxed TbHoS2Cl2 crystal at the GGA-PBE level of DFT.

a = 3.998 Å, b = 5.358 Å, c = 8.404 Å
α = 90.00°, β = 90.00°, γ = 90.00°
Sites, in units of the cell vectors:
Ho  0.000  0.000  0.139
Cl  0.500  0.000  0.348
S  0.500  0.000  0.917
Cl  0.000  0.500  0.648
Tb  0.500  0.500  0.860
S  0.000  0.500  0.087

theoretical density = 4.23 Mg/m³
E_tot = -34.28 eV/cell
crystal system = orthorhombic